[1]
! Si2OsRu, optimized geometry, DFT PBE-GGA; values from VASP
&SYSTEM
  ibrav = 0, nat = 12, ntyp = 3
/
ATOMIC_SPECIES
Si 28.09 Si.upf
Os 190.23 Os.upf
Ru 101.07 Ru.upf
CELL_PARAMETERS angstrom
2.867 0.000 0.000
-1.434 2.483 0.000
0.000 0.000 23.319
ATOMIC_POSITIONS crystal
Si 0.000 0.000 0.000
Si 0.000 0.000 0.249
Si 0.333 0.667 0.667
Si 0.333 0.667 0.915
Si 0.667 0.333 0.333
Si 0.667 0.333 0.582
Os 0.000 0.000 0.505
Os 0.333 0.667 0.172
Os 0.667 0.333 0.838
Ru 0.000 0.000 0.742
Ru 0.333 0.667 0.409
Ru 0.667 0.333 0.076
! Raw formation energy in kJ/mol of atoms: -3.4

=====

[2]
! SiOs2Ru, optimized geometry, DFT PBE-GGA; values from VASP
&SYSTEM
  ibrav = 0, nat = 8, ntyp = 3
/
ATOMIC_SPECIES
Si 28.09 Si.upf
Os 190.23 Os.upf
Ru 101.07 Ru.upf
CELL_PARAMETERS angstrom
5.437 0.000 0.000
0.000 7.400 0.000
0.000 0.000 2.746
ATOMIC_POSITIONS crystal
Si 0.000 0.000 0.000
Si 0.500 0.500 0.000
Os 0.250 0.250 0.500
Os 0.250 0.750 0.500
Os 0.750 0.250 0.500
Os 0.750 0.750 0.500
Ru 0.000 0.500 0.000
Ru 0.500 0.000 0.000
! Raw formation energy in kJ/mol of atoms: 14.3

=====

[3]
! SiOs2Ru, optimized geometry, DFT PBE-GGA; values from VASP
&SYSTEM
  ibrav = 0, nat = 4, ntyp = 3
/
ATOMIC_SPECIES
Si 28.09 Si.upf
Os 190.23 Os.upf
Ru 101.07 Ru.upf
CELL_PARAMETERS angstrom
2.768 0.000 0.000
0.000 3.759 0.000
0.000 0.000 5.314
ATOMIC_POSITIONS crystal
Si 0.000 0.000 0.000
Os 0.500 0.500 0.244
Os 0.500 0.500 0.756
Ru 0.000 0.000 0.500
! Raw formation energy in kJ/mol of atoms: 13.6

=====

[4]
! SiOsRu2, optimized geometry, DFT PBE-GGA; values from VASP
&SYSTEM
  ibrav = 0, nat = 8, ntyp = 3
/
ATOMIC_SPECIES
Si 28.09 Si.upf
Os 190.23 Os.upf
Ru 101.07 Ru.upf
CELL_PARAMETERS angstrom
2.844 0.000 0.000
0.000 4.325 0.000
0.000 0.000 8.855
ATOMIC_POSITIONS crystal
Si 0.000 0.000 0.000
Si 0.500 0.500 0.500
Os 0.000 0.500 0.721
Os 0.500 0.000 0.221
Ru 0.000 0.000 0.497
Ru 0.000 0.500 0.283
Ru 0.500 0.000 0.783
Ru 0.500 0.500 0.997
! Raw formation energy in kJ/mol of atoms: -16.4

=====

[5]
! SiOsRu2, optimized geometry, DFT PBE-GGA; values from VASP
&SYSTEM
  ibrav = 0, nat = 8, ntyp = 3
/
ATOMIC_SPECIES
Si 28.09 Si.upf
Os 190.23 Os.upf
Ru 101.07 Ru.upf
CELL_PARAMETERS angstrom
5.455 0.000 0.000
0.000 7.329 0.000
0.000 0.000 2.743
ATOMIC_POSITIONS crystal
Si 0.000 0.000 0.000
Si 0.500 0.500 0.000
Os 0.000 0.500 0.000
Os 0.500 0.000 0.000
Ru 0.250 0.250 0.500
Ru 0.250 0.750 0.500
Ru 0.750 0.250 0.500
Ru 0.750 0.750 0.500
! Raw formation energy in kJ/mol of atoms: -0.3

=====

[6]
! SiOs2Ru, optimized geometry, DFT PBE-GGA; values from VASP
&SYSTEM
  ibrav = 0, nat = 8, ntyp = 3
/
ATOMIC_SPECIES
Si 28.09 Si.upf
Os 190.23 Os.upf
Ru 101.07 Ru.upf
CELL_PARAMETERS angstrom
3.930 0.000 0.000
0.000 2.769 0.000
0.000 0.000 10.192
ATOMIC_POSITIONS crystal
Si 0.000 0.000 0.000
Si 0.000 0.500 0.500
Os 0.000 0.000 0.763
Os 0.000 0.500 0.263
Os 0.500 0.000 0.147
Os 0.500 0.500 0.647
Ru 0.500 0.000 0.413
Ru 0.500 0.500 0.913
! Raw formation energy in kJ/mol of atoms: -8.5

=====

[7]
! Si2OsRu, optimized geometry, DFT PBE-GGA; values from VASP
&SYSTEM
  ibrav = 0, nat = 4, ntyp = 3
/
ATOMIC_SPECIES
Si 28.09 Si.upf
Os 190.23 Os.upf
Ru 101.07 Ru.upf
CELL_PARAMETERS angstrom
2.946 0.000 0.000
0.000 2.946 0.000
0.000 0.000 5.891
ATOMIC_POSITIONS crystal
Si 0.000 0.000 0.249
Si 0.000 0.000 0.751
Os 0.500 0.500 0.500
Ru 0.500 0.500 0.000
! Raw formation energy in kJ/mol of atoms: -47.7

=====

[8]
! SiOs2Ru, optimized geometry, DFT PBE-GGA; values from VASP
&SYSTEM
  ibrav = 0, nat = 4, ntyp = 3
/
ATOMIC_SPECIES
Si 28.09 Si.upf
Os 190.23 Os.upf
Ru 101.07 Ru.upf
CELL_PARAMETERS angstrom
2.856 0.000 0.000
0.000 2.856 0.000
0.000 0.000 6.648
ATOMIC_POSITIONS crystal
Si 0.000 0.000 0.000
Os 0.500 0.500 0.221
Os 0.500 0.500 0.779
Ru 0.000 0.000 0.500
! Raw formation energy in kJ/mol of atoms: -8.3

=====

[9]
! SiOsRu2, optimized geometry, DFT PBE-GGA; values from VASP
&SYSTEM
  ibrav = 0, nat = 12, ntyp = 3
/
ATOMIC_SPECIES
Si 28.09 Si.upf
Os 190.23 Os.upf
Ru 101.07 Ru.upf
CELL_PARAMETERS angstrom
2.761 0.000 0.000
-1.380 2.391 0.000
0.000 0.000 24.900
ATOMIC_POSITIONS crystal
Si 0.000 0.000 0.000
Si 0.333 0.667 0.667
Si 0.667 0.333 0.333
Os 0.000 0.000 0.253
Os 0.333 0.667 0.920
Os 0.667 0.333 0.587
Ru 0.000 0.000 0.499
Ru 0.000 0.000 0.744
Ru 0.333 0.667 0.166
Ru 0.333 0.667 0.410
Ru 0.667 0.333 0.077
Ru 0.667 0.333 0.832
! Raw formation energy in kJ/mol of atoms: -2.5

=====

[10]
! SiOs2Ru, optimized geometry, DFT PBE-GGA; values from VASP
&SYSTEM
  ibrav = 0, nat = 4, ntyp = 3
/
ATOMIC_SPECIES
Si 28.09 Si.upf
Os 190.23 Os.upf
Ru 101.07 Ru.upf
CELL_PARAMETERS angstrom
2.812 0.000 0.000
0.000 4.464 0.000
0.000 0.000 4.464
ATOMIC_POSITIONS crystal
Si 0.000 0.000 0.000
Os 0.000 0.500 0.500
Os 0.500 0.500 0.000
Ru 0.500 0.000 0.500
! Raw formation energy in kJ/mol of atoms: 21.7

=====

[11]
! SiOs2Ru, optimized geometry, DFT PBE-GGA; values from VASP
&SYSTEM
  ibrav = 0, nat = 4, ntyp = 3
/
ATOMIC_SPECIES
Si 28.09 Si.upf
Os 190.23 Os.upf
Ru 101.07 Ru.upf
CELL_PARAMETERS angstrom
2.831 0.000 0.000
0.000 2.831 0.000
0.000 0.000 6.739
ATOMIC_POSITIONS crystal
Si 0.000 0.000 0.000
Os 0.000 0.000 0.503
Os 0.500 0.500 0.230
Ru 0.500 0.500 0.788
! Raw formation energy in kJ/mol of atoms: -14.9

=====

[12]
! SiOs3Ru, optimized geometry, DFT PBE-GGA; values from VASP
&SYSTEM
  ibrav = 0, nat = 5, ntyp = 3
/
ATOMIC_SPECIES
Si 28.09 Si.upf
Os 190.23 Os.upf
Ru 101.07 Ru.upf
CELL_PARAMETERS angstrom
4.649 0.000 0.000
0.000 4.649 0.000
0.000 0.000 4.649
ATOMIC_POSITIONS crystal
Si 0.000 0.000 0.000
Os 0.000 0.500 0.500
Os 0.500 0.000 0.500
Os 0.500 0.500 0.000
Ru 0.500 0.500 0.500
! Raw formation energy in kJ/mol of atoms: 234.1

=====

> Among the records above, which one has the lowest raw formation energy?

number 7

=====

> The lowest raw formation energy belongs to which entry?

number 7

=====

> Which value of raw formation energy does entry 7 give?

-47.7 kJ/mol of atoms

=====

> Among the records above, which one has the lowest raw formation energy?

number 7